[1]
First-principles (PBE-GGA) data for an optimized crystal structure of Nd2Zn2CdPd5, as listed in the Alexandria database.

Results
Crystal system = tetragonal
Calculated total energy = -90.47 eV for the cell shown
N(E_F) = 0.35 states/eV/atom

```
data_Nd2Zn2CdPd5
_chemical_formula_sum 'Nd4 Zn4 Cd2 Pd10'
_symmetry_space_group_name_H-M 'P 4/m b m'
_symmetry_Int_Tables_number 127
_symmetry_space_group_name_Hall '-P 4 2ab'
_cell_length_a 9.906
_cell_length_b 9.906
_cell_length_c 3.840
_cell_angle_alpha 90.00
_cell_angle_beta 90.00
_cell_angle_gamma 90.00
loop_
_atom_site_label
_atom_site_type_symbol
_atom_site_fract_x
_atom_site_fract_y
_atom_site_fract_z
Nd1 Nd 0.178 0.322 0.000
Zn1 Zn 0.118 0.618 0.000
Cd1 Cd 0.000 0.000 0.000
Pd1 Pd 0.000 0.500 0.500
Pd2 Pd 0.066 0.791 0.500
```

[2]
First-principles (PBE-GGA) data for an optimized crystal structure of NdZn2CdPd5, as listed in the Alexandria database.

Results
Crystal system = tetragonal
Calculated total energy = -38.09 eV for the cell shown
N(E_F) = 0.41 states/eV/atom

```
data_NdZn2CdPd5
_chemical_formula_sum 'Nd1 Zn2 Cd1 Pd5'
_symmetry_space_group_name_H-M 'P 4/m m m'
_symmetry_Int_Tables_number 123
_symmetry_space_group_name_Hall '-P 4 2'
_cell_length_a 4.186
_cell_length_b 4.186
_cell_length_c 9.379
_cell_angle_alpha 90.00
_cell_angle_beta 90.00
_cell_angle_gamma 90.00
loop_
_atom_site_label
_atom_site_type_symbol
_atom_site_fract_x
_atom_site_fract_y
_atom_site_fract_z
Nd1 Nd 0.000 0.000 0.000
Zn1 Zn 0.500 0.500 0.372
Cd1 Cd 0.000 0.000 0.500
Pd1 Pd 0.000 0.500 0.227
Pd2 Pd 0.500 0.500 0.000
```

[3]
First-principles (PBE-GGA) data for an optimized crystal structure of NdZnCdPd, as listed in the Alexandria database.

Results
Crystal system = cubic
Calculated total energy = -55.88 eV for the cell shown
N(E_F) = 0.93 states/eV/atom

```
data_NdZnCdPd
_chemical_formula_sum 'Nd4 Zn4 Cd4 Pd4'
_symmetry_space_group_name_H-M 'F -4 3 m'
_symmetry_Int_Tables_number 216
_symmetry_space_group_name_Hall 'F -4 2 3'
_cell_length_a 6.956
_cell_length_b 6.956
_cell_length_c 6.956
_cell_angle_alpha 90.00
_cell_angle_beta 90.00
_cell_angle_gamma 90.00
loop_
_atom_site_label
_atom_site_type_symbol
_atom_site_fract_x
_atom_site_fract_y
_atom_site_fract_z
Nd1 Nd 0.000 0.000 0.000
Zn1 Zn 0.250 0.250 0.750
Cd1 Cd 0.000 0.000 0.500
Pd1 Pd 0.250 0.250 0.250
```

[4]
First-principles (PBE-GGA) data for an optimized crystal structure of NdZn5CdPd2, as listed in the Alexandria database.

Results
Crystal system = tetragonal
Calculated total energy = -24.29 eV for the cell shown
N(E_F) = 0.31 states/eV/atom

```
data_NdZn5CdPd2
_chemical_formula_sum 'Nd1 Zn5 Cd1 Pd2'
_symmetry_space_group_name_H-M 'P 4/m m m'
_symmetry_Int_Tables_number 123
_symmetry_space_group_name_Hall '-P 4 2'
_cell_length_a 4.833
_cell_length_b 4.833
_cell_length_c 7.518
_cell_angle_alpha 90.00
_cell_angle_beta 90.00
_cell_angle_gamma 90.00
loop_
_atom_site_label
_atom_site_type_symbol
_atom_site_fract_x
_atom_site_fract_y
_atom_site_fract_z
Nd1 Nd 0.000 0.000 0.000
Zn1 Zn 0.000 0.500 0.272
Zn2 Zn 0.500 0.500 0.000
Cd1 Cd 0.000 0.000 0.500
Pd1 Pd 0.500 0.500 0.324
```

[5]
First-principles (PBE-GGA) data for an optimized crystal structure of Pm2Nd3Cd6, as listed in the Alexandria database.

Results
Crystal system = tetragonal
Calculated total energy = -59.00 eV for the cell shown
N(E_F) = 0.75 states/eV/atom

```
data_Pm2Nd3Cd6
_chemical_formula_sum 'Pm4 Nd6 Cd12'
_symmetry_space_group_name_H-M 'I 4/m m m'
_symmetry_Int_Tables_number 139
_symmetry_space_group_name_Hall '-I 4 2'
_cell_length_a 4.136
_cell_length_b 4.136
_cell_length_c 39.329
_cell_angle_alpha 90.00
_cell_angle_beta 90.00
_cell_angle_gamma 90.00
loop_
_atom_site_label
_atom_site_type_symbol
_atom_site_fract_x
_atom_site_fract_y
_atom_site_fract_z
Pm1 Pm 0.000 0.000 0.133
Nd1 Nd 0.000 0.000 0.311
Nd2 Nd 0.000 0.000 0.500
Cd1 Cd 0.000 0.000 0.228
Cd2 Cd 0.000 0.500 0.066
```

[6]
First-principles (PBE-GGA) data for an optimized crystal structure of Pm3Nd2Cd2, as listed in the Alexandria database.

Results
Crystal system = monoclinic
N(E_F) = 1.02 states/eV/atom
Relative energy among the computed polymorphs = 0 meV per atom

```
data_Pm3Nd2Cd2
_chemical_formula_sum 'Pm6 Nd4 Cd4'
_symmetry_space_group_name_H-M 'C 1 2/m 1'
_symmetry_Int_Tables_number 12
_symmetry_space_group_name_Hall '-C 2y'
_cell_length_a 9.615
_cell_length_b 5.547
_cell_length_c 8.783
_cell_angle_alpha 90.00
_cell_angle_beta 111.33
_cell_angle_gamma 90.00
loop_
_atom_site_label
_atom_site_type_symbol
_atom_site_fract_x
_atom_site_fract_y
_atom_site_fract_z
Pm1 Pm 0.000 0.000 0.000
Pm2 Pm 0.158 0.000 0.473
Nd1 Nd 0.075 0.500 0.724
Cd1 Cd 0.211 0.500 0.134
```

[7]
First-principles (PBE-GGA) data for an optimized crystal structure of Pm2NdCd, as listed in the Alexandria database.

Results
Crystal system = trigonal
N(E_F) = 1.26 states/eV/atom
Relative energy among the computed polymorphs = 317 meV per atom

```
data_Pm2NdCd
_chemical_formula_sum 'Pm6 Nd3 Cd3'
_symmetry_space_group_name_H-M 'R -3 m'
_symmetry_Int_Tables_number 166
_symmetry_space_group_name_Hall '-R 3 2"'
_cell_length_a 3.5505
_cell_length_b 3.5505
_cell_length_c 37.4204
_cell_angle_alpha 90.00
_cell_angle_beta 90.00
_cell_angle_gamma 120.00
loop_
_atom_site_label
_atom_site_type_symbol
_atom_site_fract_x
_atom_site_fract_y
_atom_site_fract_z
Pm1 Pm 0.0000 0.0000 0.0880
Nd1 Nd 0.0000 0.0000 0.5000
Cd1 Cd 0.0000 0.0000 0.0000
```

[8]
First-principles (PBE-GGA) data for an optimized crystal structure of PmNdCd, as listed in the Alexandria database.

Results
Crystal system = tetragonal
N(E_F) = 1.97 states/eV/atom
Relative energy among the computed polymorphs = 286 meV per atom

```
data_PmNdCd
_chemical_formula_sum 'Pm2 Nd2 Cd2'
_symmetry_space_group_name_H-M 'I -4 m 2'
_symmetry_Int_Tables_number 119
_symmetry_space_group_name_Hall 'I -4 -2'
_cell_length_a 5.247
_cell_length_b 5.247
_cell_length_c 7.575
_cell_angle_alpha 90.00
_cell_angle_beta 90.00
_cell_angle_gamma 90.00
loop_
_atom_site_label
_atom_site_type_symbol
_atom_site_fract_x
_atom_site_fract_y
_atom_site_fract_z
Pm1 Pm 0.000 0.000 0.000
Nd1 Nd 0.000 0.000 0.500
Cd1 Cd 0.000 0.500 0.750
```

[9]
First-principles (PBE-GGA) data for an optimized crystal structure of PmNd5Cd3, as listed in the Alexandria database.

Results
Crystal system = hexagonal
Calculated total energy = -65.69 eV for the cell shown
N(E_F) = 1.17 states/eV/atom

```
data_PmNd5Cd3
_chemical_formula_sum 'Pm2 Nd10 Cd6'
_symmetry_space_group_name_H-M 'P 63/m c m'
_symmetry_Int_Tables_number 193
_symmetry_space_group_name_Hall '-P 6c 2'
_cell_length_a 9.4852
_cell_length_b 9.4852
_cell_length_c 7.0974
_cell_angle_alpha 90.00
_cell_angle_beta 90.00
_cell_angle_gamma 120.00
loop_
_atom_site_label
_atom_site_type_symbol
_atom_site_fract_x
_atom_site_fract_y
_atom_site_fract_z
Pm1 Pm 0.0000 0.0000 0.0000
Nd1 Nd 0.0000 0.3342 0.2500
Nd2 Nd 0.3333 0.6667 0.0000
Cd1 Cd 0.0000 0.3315 0.7500
```

[10]
First-principles (PBE-GGA) data for an optimized crystal structure of Pm2Nd3Cd2, as listed in the Alexandria database.

Results
Crystal system = orthorhombic
N(E_F) = 1.15 states/eV/atom
Relative energy among the computed polymorphs = 55 meV per atom

```
data_Pm2Nd3Cd2
_chemical_formula_sum 'Pm4 Nd6 Cd4'
_symmetry_space_group_name_H-M 'C m m m'
_symmetry_Int_Tables_number 65
_symmetry_space_group_name_Hall '-C 2 2'
_cell_length_a 3.702
_cell_length_b 32.807
_cell_length_c 3.665
_cell_angle_alpha 90.00
_cell_angle_beta 90.00
_cell_angle_gamma 90.00
loop_
_atom_site_label
_atom_site_type_symbol
_atom_site_fract_x
_atom_site_fract_y
_atom_site_fract_z
Pm1 Pm 0.000 0.204 0.000
Nd1 Nd 0.000 0.079 0.000
Nd2 Nd 0.000 0.500 0.500
Cd1 Cd 0.000 0.358 0.500
```